1.
Dy2Si4Ni3Ir: optimized geometry, PBE.

```
data_Dy2Si4Ni3Ir
_chemical_formula_sum 'Dy2 Si4 Ni3 Ir1'
_cell_length_a 3.959
_cell_length_b 3.959
_cell_length_c 9.725
_cell_angle_alpha 90.00
_cell_angle_beta 90.00
_cell_angle_gamma 90.00
_symmetry_space_group_name_H-M 'P -4 m 2'
_symmetry_Int_Tables_number 115
_symmetry_space_group_name_Hall 'P -4 -2'
loop_
_atom_site_label
_atom_site_fract_x
_atom_site_fract_y
_atom_site_fract_z
Dy1 0.000 0.500 0.241
Si1 0.000 0.000 0.000
Si2 0.000 0.500 0.640
Si3 0.500 0.500 0.000
Ni1 0.000 0.500 0.876
Ni2 0.500 0.500 0.500
Ir1 0.000 0.000 0.500
```

Formation energy from raw total energies, eV per atom: -0.911

2.
NdHoGa4: optimized geometry, PBE.

```
data_NdHoGa4
_chemical_formula_sum 'Nd4 Ho4 Ga16'
_cell_length_a 7.875
_cell_length_b 7.875
_cell_length_c 7.875
_cell_angle_alpha 90.00
_cell_angle_beta 90.00
_cell_angle_gamma 90.00
_symmetry_space_group_name_H-M 'F -4 3 m'
_symmetry_Int_Tables_number 216
_symmetry_space_group_name_Hall 'F -4 2 3'
loop_
_atom_site_label
_atom_site_fract_x
_atom_site_fract_y
_atom_site_fract_z
Nd1 0.000 0.000 0.000
Ho1 0.250 0.250 0.750
Ga1 0.125 0.125 0.375
```

Energy above the lowest structure with this stoichiometry, meV/atom: 113.5
ΔE_f, meV per atom: -546

3.
YBe4Te: optimized geometry, PBE.

```
data_YBe4Te
_chemical_formula_sum 'Y4 Be16 Te4'
_cell_length_a 7.170
_cell_length_b 7.170
_cell_length_c 7.170
_cell_angle_alpha 90.00
_cell_angle_beta 90.00
_cell_angle_gamma 90.00
_symmetry_space_group_name_H-M 'F -4 3 m'
_symmetry_Int_Tables_number 216
_symmetry_space_group_name_Hall 'F -4 2 3'
loop_
_atom_site_label
_atom_site_fract_x
_atom_site_fract_y
_atom_site_fract_z
Y1 0.000 0.000 0.000
Be1 0.137 0.137 0.637
Te1 0.250 0.250 0.250
```

Formation energy from raw total energies, eV per atom: 0.340

4.
SnPbIN2: optimized geometry, PBE.

```
data_SnPbIN2
_chemical_formula_sum 'Sn1 Pb1 I1 N2'
_cell_length_a 4.515
_cell_length_b 4.515
_cell_length_c 6.328
_cell_angle_alpha 90.00
_cell_angle_beta 90.00
_cell_angle_gamma 90.00
_symmetry_space_group_name_H-M 'P 4/m m m'
_symmetry_Int_Tables_number 123
_symmetry_space_group_name_Hall '-P 4 2'
loop_
_atom_site_label
_atom_site_fract_x
_atom_site_fract_y
_atom_site_fract_z
Sn1 0.000 0.000 0.000
Pb1 0.500 0.500 0.500
I1 0.500 0.500 0.000
N1 0.000 0.500 0.500
```

Energy above the lowest structure with this stoichiometry, meV/atom: 323.7
Formation energy from raw total energies, eV per atom: 1.489

5.
HfCuSnAu: optimized geometry, PBE.

```
data_HfCuSnAu
_chemical_formula_sum 'Hf4 Cu4 Sn4 Au4'
_cell_length_a 6.688
_cell_length_b 6.688
_cell_length_c 6.688
_cell_angle_alpha 90.00
_cell_angle_beta 90.00
_cell_angle_gamma 90.00
_symmetry_space_group_name_H-M 'F -4 3 m'
_symmetry_Int_Tables_number 216
_symmetry_space_group_name_Hall 'F -4 2 3'
loop_
_atom_site_label
_atom_site_fract_x
_atom_site_fract_y
_atom_site_fract_z
Hf1 0.000 0.000 0.000
Cu1 0.250 0.250 0.250
Sn1 0.000 0.000 0.500
Au1 0.250 0.250 0.750
```

ΔE_f, meV per atom: -137

6.
Hf2ZrUN4: optimized geometry, PBE.

```
data_Hf2ZrUN4
_chemical_formula_sum 'Hf4 Zr2 U2 N8'
_cell_length_a 4.651
_cell_length_b 4.651
_cell_length_c 9.236
_cell_angle_alpha 90.00
_cell_angle_beta 90.00
_cell_angle_gamma 90.00
_symmetry_space_group_name_H-M 'I -4 m 2'
_symmetry_Int_Tables_number 119
_symmetry_space_group_name_Hall 'I -4 -2'
loop_
_atom_site_label
_atom_site_fract_x
_atom_site_fract_y
_atom_site_fract_z
Hf1 0.000 0.000 0.000
Hf2 0.000 0.500 0.250
Zr1 0.000 0.500 0.750
U1 0.000 0.000 0.500
N1 0.000 0.000 0.248
N2 0.000 0.500 0.004
```

Formation energy from raw total energies, eV per atom: -1.636

The records above give, respectively, energy values of -6.622 -4.122 -3.745 -3.693 -5.470 -10.767 eV/atom.